5
Lattice="-2.150 -3.214 -0.123 0.492 -2.867 2.550 -7.595 4.285 6.948" Properties=species:S:1:pos:R:3 comment="PBE-GGA ZrSe2S2, optimized geometry" e_form_raw_ev_per_atom=-0.662 final_energy_ev_per_atom=-5.416 de_polymorph_kcal_per_mol_atoms=0.00 sg="C2/m (12)" pbc="T T T"
Zr 0.000 0.000 0.000
Se -1.608 -1.338 1.763
Se -7.644 -0.457 7.612
S -4.758 0.048 4.695
S -4.494 -1.843 4.680